(1)
## Hg2PSe (PBE)

Data for a relaxed structure of Hg2PSe.

Summary:
Crystal system ... orthorhombic
Formation energy without anion corrections ... 0.41 eV/atom

POSCAR file:
```
Hg2PSe
1.0
2.7306 -6.5321 0.0000
2.7306 6.5321 0.0000
0.0000 0.0000 2.7886
Hg P Se
2 1 1
Direct
0.0000 0.5000 0.0000
0.5000 0.0000 0.0000
0.0000 0.0000 0.5000
0.5000 0.5000 0.5000
```

(2)
## BC5 (PBE)

Data for a relaxed structure of BC5.

Summary:
Energy relative to the elements ... 241 meV per atom
ΔE to the lowest computed polymorph ... 0.19 eV/f.u.
Crystal system ... monoclinic

POSCAR file:
```
BC5
1.0
5.7041 -1.2686 0.0000
5.7041 1.2686 0.0000
-1.1274 0.0000 4.9919
B C
2 10
Direct
0.1284 0.1284 0.4387
0.8716 0.8716 0.5613
0.1237 0.1237 0.9401
0.2108 0.2108 0.7418
0.2124 0.2124 0.2202
0.4567 0.4567 0.1025
0.4666 0.4666 0.6071
0.5334 0.5334 0.3929
0.5433 0.5433 0.8975
0.7876 0.7876 0.7798
0.7892 0.7892 0.2582
0.8763 0.8763 0.0599
```

(3)
## CaSbF6 (PBE)

Data for a relaxed structure of CaSbF6.

Summary:
ΔE to the lowest computed polymorph ... 0.00 eV/f.u.
Crystal system ... trigonal
Formation energy without anion corrections ... -2.87 eV/atom

POSCAR file:
```
CaSbF6
1.0
2.9299 1.6916 5.0302
-2.9299 1.6916 5.0302
0.0000 -3.3832 5.0302
Ca Sb F
1 1 6
Direct
0.0000 0.0000 0.0000
0.5000 0.5000 0.5000
0.1778 0.7360 0.3497
0.2640 0.6503 0.8222
0.3497 0.1778 0.7360
0.6503 0.8222 0.2640
0.7360 0.3497 0.1778
0.8222 0.2640 0.6503
```

(4)
## La2MgAl3Ag4 (PBE)

Data for a relaxed structure of La2MgAl3Ag4.

Summary:
Energy relative to the elements ... -326 meV per atom
Crystal system ... tetragonal

POSCAR file:
```
La2MgAl3Ag4
1.0
4.5360 0.0000 0.0000
0.0000 4.5360 0.0000
0.0000 0.0000 10.7981
La Mg Al Ag
2 1 3 4
Direct
0.0000 0.5000 0.2407
0.5000 0.0000 0.7593
0.0000 0.0000 0.5000
0.0000 0.5000 0.8708
0.5000 0.0000 0.1292
0.5000 0.5000 0.5000
0.0000 0.0000 0.0000
0.0000 0.5000 0.6347
0.5000 0.0000 0.3653
0.5000 0.5000 0.0000
```

(5)
## Li2SiAgTe4 (PBE)

Data for a relaxed structure of Li2SiAgTe4.

Summary:
Crystal system ... orthorhombic
Formation energy without anion corrections ... -0.28 eV/atom

POSCAR file:
```
Li2SiAgTe4
1.0
-3.9503 4.2037 5.8365
3.9503 -4.2037 5.8365
3.9503 4.2037 -5.8365
Li Si Ag Te
4 2 2 8
Direct
0.0000 0.0000 0.0000
0.5000 0.0000 0.0000
0.5000 0.0000 0.5000
0.5000 0.5000 0.5000
0.0000 0.0000 0.5000
0.0000 0.5000 0.0000
0.0000 0.5000 0.5000
0.5000 0.5000 0.0000
0.2237 0.2404 0.9833
0.2380 0.2416 0.5036
0.2380 0.7344 0.9964
0.2429 0.7596 0.4833
0.7571 0.2404 0.5167
0.7620 0.2656 0.0036
0.7620 0.7584 0.4964
0.7763 0.7596 0.0167
```

no.,magnetization (μB per cell),N(E_F) (states/eV per cell)
1,0.0,1.90
2,0.0,1.76
3,0.9,2.33
4,0.0,8.18
5,0.0,7.09